No. 1
This record from the Alexandria database describes Ba3Sc after structural relaxation. The functional is GGA-PBEsol.

Cell lengths 6.832, 6.832, 3.997 Å; angles 90.00, 90.00, 108.72 degrees
Fractional coordinates of all 4 atoms:
Ba 0.000 0.000 0.000
Ba 0.000 0.500 0.500
Ba 0.500 0.000 0.500
Sc 0.500 0.500 0.000

Values from the calculation:
electronic total energy: -11.782 eV per cell
E_form: 317 meV per atom


No. 2
This record from the Alexandria database describes BaScSe2 after structural relaxation. The functional is GGA-PBEsol.

Cell lengths 7.549, 7.549, 7.549 Å; angles 31.41, 31.41, 31.41 degrees
Fractional coordinates of all 4 atoms:
Ba 0.000 0.000 0.000
Sc 0.500 0.500 0.500
Se 0.233 0.233 0.233
Se 0.767 0.767 0.767

Values from the calculation:
electronic total energy: -23.617 eV per cell
uncorrected formation energy: -1791 meV/atom


No. 3
This record from the Alexandria database describes BaScSe2 after structural relaxation. The functional is GGA-PBEsol.

Cell lengths 4.102, 3.816, 7.331 Å; angles 90.00, 90.14, 90.00 degrees
Fractional coordinates of all 4 atoms:
Ba 0.000 0.000 0.000
Sc 0.500 0.000 0.500
Se 0.498 0.500 0.751
Se 0.502 0.500 0.249

Values from the calculation:
electronic total energy: -22.715 eV per cell
uncorrected formation energy: -1565 meV/atom